1.
Ce4SiTeAs2 PBE optimized geometry; uncorrected energy = -6.3878 eV/atom; size of the total moment = 2.899 μB per cell; density of states at the Fermi level = 20.72 states/eV/cell; ΔE_f (raw) = -1.188 eV per atom
1.0
7.420 0.000 0.000
0.000 4.272 0.000
-2.453 0.000 7.011
Ce Si Te As
4 1 1 2
Cartesian
1.182 0.000 1.642
-0.042 2.136 5.319
5.009 2.136 1.692
3.785 0.000 5.369
3.710 0.000 0.000
2.483 2.136 3.506
-1.227 0.000 3.506
0.000 2.136 0.000


2.
RuICl2 PBE optimized geometry; uncorrected energy = -3.3852 eV/atom; size of the total moment = 0.000 μB per cell; density of states at the Fermi level = 4.13 states/eV/cell; ΔE_f (raw) = 0.245 eV per atom
1.0
1.574 0.909 12.656
-1.574 0.909 12.656
0.000 -1.818 12.656
Ru I Cl
1 1 2
Cartesian
0.000 0.000 0.000
0.000 0.000 18.984
0.000 0.000 2.197
0.000 0.000 35.771


3.
UTi2In PBE optimized geometry; uncorrected energy = -7.4090 eV/atom; size of the total moment = 2.006 μB per cell; density of states at the Fermi level = 7.17 states/eV/cell; formation energy from the elements = 0.18 eV per formula unit
1.0
4.942 0.000 0.000
0.000 4.942 0.000
0.000 0.000 3.131
U Ti In
1 2 1
Cartesian
0.000 0.000 0.000
0.000 2.471 1.566
2.471 0.000 1.566
2.471 2.471 0.000


4.
Pm2Y6Th3 PBE optimized geometry; uncorrected energy = -6.2484 eV/atom; size of the total moment = 0.000 μB per cell; density of states at the Fermi level = 17.26 states/eV/cell; formation energy from the elements = 1.81 eV per formula unit
1.0
3.007 -5.565 0.000
3.007 5.565 0.000
-1.440 0.000 11.192
Pm Y Th
2 6 3
Cartesian
3.007 3.955 0.000
3.007 -3.955 0.000
0.206 0.000 2.988
1.381 1.781 8.541
3.192 1.781 2.651
1.381 -1.781 8.541
3.192 -1.781 2.651
4.368 0.000 8.204
2.287 3.633 5.596
2.287 0.000 5.596
2.287 -3.633 5.596


5.
RbAgRhBr6 PBE optimized geometry; uncorrected energy = -2.9673 eV/atom; size of the total moment = 0.863 μB per cell; density of states at the Fermi level = 12.11 states/eV/cell; ΔE_f (raw) = -0.611 eV per atom
1.0
6.987 0.000 0.000
-3.494 6.051 0.000
0.000 0.000 7.552
Rb Ag Rh Br
1 1 1 6
Cartesian
0.000 0.000 0.000
0.000 4.034 3.776
3.494 2.017 3.776
2.568 0.193 5.224
1.451 2.128 2.328
4.419 0.193 2.328
2.376 3.730 5.224
5.536 2.128 5.224
4.611 3.730 2.328


6.
CeSmTm PBE optimized geometry; uncorrected energy = -4.9716 eV/atom; size of the total moment = 0.614 μB per cell; density of states at the Fermi level = 6.59 states/eV/cell; formation energy from the elements = 0.21 eV per formula unit
1.0
3.518 0.000 0.000
-1.759 3.047 0.000
0.000 0.000 8.656
Ce Sm Tm
1 1 1
Cartesian
0.000 0.000 0.000
0.000 2.031 5.763
1.759 1.016 2.811


What is the formula in the fifth record? RbAgRhBr6


Which of these has the lowest uncorrected energy? UTi2In


size of the total moment of number 3 (UTi2In)? 2.006 μB per cell